Material: Sr2CoIr
Method: DFT, PBE-GGA
State: optimized geometry

Unit cell a=8.1031 b=8.1031 c=6.4623 alpha=51.17 beta=51.17 gamma=90.00
Last column: magnetic moment on the atom in μB.
Element x y z (fractional)
1 Sr 0.6320 0.1250 0.2500  -0.04
2 Sr 0.1180 0.6250 0.2500  -0.04
3 Sr 0.3750 0.3680 0.7500  -0.04
4 Sr 0.8750 0.8820 0.7500  -0.04
5 Ir 0.0000 0.0000 0.0000  0.25
6 Ir 0.7500 0.2500 0.5000  0.24
7 Co 0.5000 0.5000 0.0000  1.70
8 Co 0.2500 0.7500 0.5000  1.71

Values from the calculation:
Symmetry: I-42d, No. 122
Calculated volume: 24.53 Å³ per atom
E_tot: -4.17 eV/atom
Formation enthalpy at 0 K: 0.664 eV per atom
DOS at the Fermi energy: 12.54 states/eV per cell

Material: AlMo8
Method: DFT, PBE-GGA
State: optimized geometry

Unit cell a=6.0764 b=6.0764 c=6.0764 alpha=97.90 beta=97.90 gamma=136.48
Element x y z (fractional)
1 Al 0.0000 0.0000 0.0000
2 Mo 0.6619 0.3381 0.0000
3 Mo 0.3381 0.6619 0.0000
4 Mo 0.0000 0.6681 0.6681
5 Mo 0.3381 0.3381 0.6761
6 Mo 0.6681 0.0000 0.6681
7 Mo 0.6619 0.6619 0.3239
8 Mo 0.0000 0.3319 0.3319
9 Mo 0.3319 0.0000 0.3319

Values from the calculation:
Symmetry: I4/mmm, No. 139
Calculated volume: 15.94 Å³ per atom
E_tot: -9.87 eV/atom
Formation enthalpy at 0 K: 0.175 eV per atom
DOS at the Fermi energy: 7.45 states/eV per cell

Material: ErTm3Pd2
Method: DFT, PBE-GGA
State: optimized geometry

Unit cell a=3.7184 b=8.4391 c=9.6110 alpha=90.00 beta=90.00 gamma=90.00
Element x y z (fractional)
1 Er 0.5000 0.5102 0.5671
2 Er 0.5000 0.0102 0.4329
3 Tm 0.0000 0.4901 0.9335
4 Tm 0.0000 0.9901 0.0665
5 Tm 0.5000 0.6703 0.2142
6 Tm 0.5000 0.1703 0.7858
7 Tm 0.0000 0.3297 0.2850
8 Tm 0.0000 0.8297 0.7150
9 Pd 0.5000 0.7632 0.9269
10 Pd 0.5000 0.2632 0.0731
11 Pd 0.0000 0.2365 0.5737
12 Pd 0.0000 0.7365 0.4263

Values from the calculation:
Symmetry: Pmc2_1, No. 26
Calculated volume: 25.13 Å³ per atom
E_tot: -5.36 eV/atom
Offset from the most stable computed form: 0.000 eV/atom
Formation enthalpy at 0 K: -0.630 eV per atom
DOS at the Fermi energy: 12.20 states/eV per cell

Material: Dy4AlPd3
Method: DFT, PBE-GGA
State: optimized geometry

Unit cell a=3.7816 b=4.4914 c=10.8503 alpha=90.00 beta=90.00 gamma=90.00
Element x y z (fractional)
1 Al 0.5000 0.5000 0.0725
2 Pd 0.0000 0.5000 0.5854
3 Pd 0.0000 0.0000 0.4180
4 Pd 0.5000 0.0000 0.9245
5 Dy 0.5000 0.5000 0.3669
6 Dy 0.0000 0.5000 0.8502
7 Dy 0.0000 0.0000 0.1462
8 Dy 0.5000 0.0000 0.6362

Values from the calculation:
Symmetry: Pmm2, No. 25
Calculated volume: 23.04 Å³ per atom
E_tot: -5.49 eV/atom
Formation enthalpy at 0 K: -0.777 eV per atom
DOS at the Fermi energy: 4.38 states/eV per cell

Material: Nd2TmSe3
Method: DFT, PBE-GGA
State: optimized geometry

Unit cell a=3.8870 b=5.1923 c=8.6947 alpha=107.37 beta=102.92 gamma=90.00
Element x y z (fractional)
1 Nd 0.6455 0.6455 0.2909
2 Nd 0.3545 0.3545 0.7091
3 Tm 0.0000 0.0000 0.0000
4 Se 0.0000 0.5000 0.0000
5 Se 0.8281 0.8281 0.6562
6 Se 0.1719 0.1719 0.3438

Values from the calculation:
Symmetry: Immm, No. 71
Calculated volume: 27.14 Å³ per atom
E_tot: -5.60 eV/atom
Offset from the most stable computed form: 0.258 eV/atom
E_form (uncorrected): -883 kJ/mol of formula units
DOS at the Fermi energy: 4.23 states/eV per cell

Material: AcNd4Y8
Method: DFT, PBE-GGA
State: optimized geometry

Unit cell a=7.9317 b=7.9317 c=7.9317 alpha=90.06 beta=90.06 gamma=90.06
Last column: magnetic moment on the atom in μB.
Element x y z (fractional)
1 Ac 0.5000 0.5000 0.5000  0.06
2 Nd 0.5000 0.0000 0.5000  0.25
3 Nd 0.0000 0.5000 0.5000  0.25
4 Nd 0.5000 0.5000 0.0000  0.25
5 Nd 0.0000 0.0000 0.0000  -0.11
6 Y 0.2371 0.7620 0.2371  0.10
7 Y 0.7629 0.7629 0.2380  0.10
8 Y 0.7629 0.2380 0.7629  0.10
9 Y 0.2380 0.7629 0.7629  0.10
10 Y 0.7626 0.7626 0.7626  0.10
11 Y 0.2374 0.2374 0.2374  0.10
12 Y 0.7620 0.2371 0.2371  0.10
13 Y 0.2371 0.2371 0.7620  0.10

Values from the calculation:
Symmetry: R-3m, No. 166
Calculated volume: 38.38 Å³ per atom
E_tot: -5.24 eV/atom
Formation enthalpy at 0 K: 0.523 eV per atom
DOS at the Fermi energy: 21.43 states/eV per cell